Run 1
Here is NbPd2Br after structural relaxation from Alexandria. Energies are from PBE.

Structure (POSCAR):
```
NbPd2Br
1.0
0.0000 3.3019 3.3019
3.3019 0.0000 3.3019
3.3019 3.3019 0.0000
Nb Pd Br
1 2 1
direct
0.0000 0.0000 0.0000 Nb
0.2500 0.2500 0.2500 Pd
0.7500 0.7500 0.7500 Pd
0.5000 0.5000 0.5000 Br
```

Calculated values
The space group is Fm-3m (225). The value obtained for the density is 8.89 g/cm³. The value obtained for the calculated volume is 72.0 Å³/cell.

---

Run 2
Here is NbPd2Br after structural relaxation from Alexandria. Energies are from PBE.

Structure (POSCAR):
```
NbPd2Br
1.0
-3.6928 3.6928 2.7223
3.6928 -3.6928 2.7223
3.6928 3.6928 -2.7223
Nb Pd Br
2 4 2
direct
0.0000 0.0000 0.0000 Nb
0.7500 0.2500 0.5000 Nb
0.1186 0.1250 0.4936 Pd
0.3750 0.8814 0.0064 Pd
0.6314 0.6250 0.5064 Pd
0.8750 0.3686 0.9936 Pd
0.2500 0.7500 0.5000 Br
0.5000 0.5000 0.0000 Br
```

Calculated values
The space group is I-42d (122). The value obtained for the density is 8.63 g/cm³. The value obtained for the calculated volume is 148.5 Å³/cell.

---

Most stable structure: run 2

---

Run 1
Here is Nb2PdBr after structural relaxation from Alexandria. Energies are from PBE.

Structure (POSCAR):
```
Nb2PdBr
1.0
-2.9239 2.9239 5.8221
2.9239 -2.9239 5.8221
2.9239 2.9239 -5.8221
Nb Pd Br
4 2 2
direct
0.1092 0.6250 0.9842 Nb
0.3750 0.3592 0.4842 Nb
0.6408 0.1250 0.0158 Nb
0.8750 0.8908 0.5158 Nb
0.0000 0.0000 0.0000 Pd
0.7500 0.2500 0.5000 Pd
0.2500 0.7500 0.5000 Br
0.5000 0.5000 0.0000 Br
```

Calculated values
The space group is I-42d (122). The value obtained for the density is 6.21 g/cm³. The value obtained for the calculated volume is 199.1 Å³/cell.

---

Run 2
Here is Nb2PdBr after structural relaxation from Alexandria. Energies are from PBE.

Structure (POSCAR):
```
Nb2PdBr
1.0
0.0000 3.2642 3.2642
3.2642 0.0000 3.2642
3.2642 3.2642 0.0000
Nb Pd Br
2 1 1
direct
0.2500 0.2500 0.2500 Nb
0.7500 0.7500 0.7500 Nb
0.0000 0.0000 0.0000 Pd
0.5000 0.5000 0.5000 Br
```

Calculated values
The space group is Fm-3m (225). The value obtained for the density is 8.88 g/cm³. The value obtained for the calculated volume is 69.6 Å³/cell.

---

Most stable structure: run 2

---

Run 1
Here is NbPdSeBr2 after structural relaxation from Alexandria. Energies are from PBE.

Structure (POSCAR):
```
NbPdSeBr2
1.0
5.1717 0.0000 0.0000
0.0000 5.1717 0.0000
0.0000 0.0000 5.0024
Nb Pd Se Br
1 1 1 2
direct
0.0000 0.0000 0.0000 Nb
0.5000 0.5000 0.5000 Pd
0.0000 0.0000 0.5000 Se
0.0000 0.5000 0.0000 Br
0.5000 0.0000 0.0000 Br
```

Calculated values
The space group is P4/mmm (123). The value obtained for the density is 5.44 g/cm³. The value obtained for the calculated volume is 133.8 Å³/cell.

---

Run 2
Here is NbPdSeBr2 after structural relaxation from Alexandria. Energies are from PBE.

Structure (POSCAR):
```
NbPdSeBr2
1.0
4.9853 0.0000 0.0000
0.0000 4.9853 0.0000
0.0000 0.0000 5.1090
Nb Pd Se Br
1 1 1 2
direct
0.0000 0.0000 0.0000 Nb
0.5000 0.5000 0.5000 Pd
0.5000 0.5000 0.0000 Se
0.0000 0.5000 0.5000 Br
0.5000 0.0000 0.5000 Br
```

Calculated values
The space group is P4/mmm (123). The value obtained for the density is 5.73 g/cm³. The value obtained for the calculated volume is 127.0 Å³/cell.

---

Most stable structure: run 1

---

Run 1
Here is NbPt2Br after structural relaxation from Alexandria. Energies are from PBE.

Structure (POSCAR):
```
NbPt2Br
1.0
0.0000 3.3055 3.3055
3.3055 0.0000 3.3055
3.3055 3.3055 0.0000
Nb Pt Br
1 2 1
direct
0.0000 0.0000 0.0000 Nb
0.2500 0.2500 0.2500 Pt
0.7500 0.7500 0.7500 Pt
0.5000 0.5000 0.5000 Br
```

Calculated values
The space group is Fm-3m (225). The value obtained for the density is 12.94 g/cm³. The value obtained for the calculated volume is 72.2 Å³/cell.

---

Run 2
Here is NbPt2Br after structural relaxation from Alexandria. Energies are from PBE.

Structure (POSCAR):
```
NbPt2Br
1.0
-3.3421 3.3421 4.3034
3.3421 -3.3421 4.3034
3.3421 3.3421 -4.3034
Nb Pt Br
2 4 2
direct
0.0000 0.0000 0.0000 Nb
0.7500 0.2500 0.5000 Nb
0.0984 0.1250 0.4734 Pt
0.3750 0.9016 0.0266 Pt
0.6516 0.6250 0.5266 Pt
0.8750 0.3484 0.9734 Pt
0.2500 0.7500 0.5000 Br
0.5000 0.5000 0.0000 Br
```

Calculated values
The space group is I-42d (122). The value obtained for the density is 9.72 g/cm³. The value obtained for the calculated volume is 192.3 Å³/cell.

---

Most stable structure: run 2

---

Run 1
Here is Rb2NbBr after structural relaxation from Alexandria. Energies are from PBE.

Structure (POSCAR):
```
Rb2NbBr
1.0
-6.4643 6.4643 2.6296
6.4643 -6.4643 2.6296
6.4643 6.4643 -2.6296
Rb Nb Br
4 2 2
direct
0.3750 0.0342 0.1592 Rb
0.7842 0.6250 0.6592 Rb
0.8750 0.2158 0.8408 Rb
0.9658 0.1250 0.3408 Rb
0.2500 0.7500 0.5000 Nb
0.5000 0.5000 0.0000 Nb
0.0000 0.0000 0.0000 Br
0.7500 0.2500 0.5000 Br
```

Calculated values
The space group is I-42d (122). The value obtained for the density is 2.60 g/cm³. The value obtained for the calculated volume is 439.5 Å³/cell.

---

Run 2
Here is Rb2NbBr after structural relaxation from Alexandria. Energies are from PBE.

Structure (POSCAR):
```
Rb2NbBr
1.0
0.0000 4.3745 4.3745
4.3745 0.0000 4.3745
4.3745 4.3745 0.0000
Rb Nb Br
2 1 1
direct
0.2500 0.2500 0.2500 Rb
0.7500 0.7500 0.7500 Rb
0.0000 0.0000 0.0000 Nb
0.5000 0.5000 0.5000 Br
```

Calculated values
The space group is Fm-3m (225). The value obtained for the density is 3.41 g/cm³. The value obtained for the calculated volume is 167.4 Å³/cell.

---

Most stable structure: run 1

---

Run 1
Here is RbNbBr3 after structural relaxation from Alexandria. Energies are from PBE.

Structure (POSCAR):
```
RbNbBr3
1.0
3.8066 0.0000 0.0000
0.0287 9.0213 0.0000
0.0228 2.6198 9.1828
Rb Nb Br
2 2 6
direct
0.2486 0.2049 0.0975 Rb
0.7514 0.7951 0.9025 Rb
0.2488 0.4096 0.6003 Nb
0.7512 0.5904 0.3997 Nb
0.2501 0.1071 0.7770 Br
0.2495 0.7068 0.5352 Br
0.2510 0.5539 0.1796 Br
0.7490 0.4461 0.8204 Br
0.7505 0.2932 0.4648 Br
0.7499 0.8929 0.2230 Br
```

Calculated values
The space group is P-1 (2). The value obtained for the density is 4.40 g/cm³. The value obtained for the calculated volume is 315.3 Å³/cell.

---

Run 2
Here is RbNbBr3 after structural relaxation from Alexandria. Energies are from PBE.

Structure (POSCAR):
```
RbNbBr3
1.0
5.4802 0.0000 0.0000
0.0000 5.4802 0.0000
0.0000 0.0000 5.4802
Rb Nb Br
1 1 3
direct
0.0000 0.0000 0.0000 Rb
0.5000 0.5000 0.5000 Nb
0.0000 0.5000 0.5000 Br
0.5000 0.0000 0.5000 Br
0.5000 0.5000 0.0000 Br
```

Calculated values
The space group is Pm-3m (221). The value obtained for the density is 4.22 g/cm³. The value obtained for the calculated volume is 164.6 Å³/cell.

---

Most stable structure: run 1